UVTcNi | PBE | relaxed

```
data_UVTcNi
_chemical_formula_sum 'U1 V1 Tc1 Ni1'
_symmetry_space_group_name_H-M 'P 1'
_symmetry_Int_Tables_number 1
_cell_length_a 4.4540
_cell_length_b 4.4540
_cell_length_c 4.4540
_cell_angle_alpha 60.00
_cell_angle_beta 60.00
_cell_angle_gamma 60.00
loop_
_symmetry_equiv_pos_as_xyz
'x,y,z'
loop_
_atom_site_label
_atom_site_type_symbol
_atom_site_fract_x
_atom_site_fract_y
_atom_site_fract_z
V1 V 0.0000 0.0000 0.0000
Ni1 Ni 0.2500 0.2500 0.2500
U1 U 0.5000 0.5000 0.5000
Tc1 Tc 0.7500 0.7500 0.7500
```

Properties
Formation enthalpy at 0 K   0.052 eV/atom
Volume   15.62 A^3/atom